First-principles (GGA-PBE) data for a relaxed YHI2 crystal, as listed in the Alexandria database.

## Properties
E (eV/atom): -4.4205

abc: 4.0073 4.0073 8.5342
angles: 77.01 76.57 60.00
Last column: nearest neighbours and their distance in Å.
Space group P1 (No. 1)
Unique sites:
Y: 0.0000 0.0000 0.0000 [1 per cell]  3 H 2.31
H: 0.6664 0.6668 0.9999 [1 per cell]  3 Y 2.31
I: 0.2454 0.2539 0.2574 [1 per cell]  3 Y 3.14, 3 H 3.14
I: 0.4210 0.4128 0.7426 [1 per cell]  3 H 3.14, 3 Y 3.14